# 1
Entry from the Alexandria database: an optimized crystal structure of ErTmPa2Rh4 (PBE).

Unit cell a=7.646 b=10.827 c=8.269 alpha=90.00 beta=90.00 gamma=90.00
Space group Fmm2 (No. 42)
Inequivalent atoms, fractional coordinates:
Er  0.000  0.000  0.000 x4
Tm  0.000  0.000  0.415 x4
Pa  0.250  0.250  0.274 x8
Rh  0.000  0.235  0.533 x8
Rh  0.196  0.000  0.714 x8

Summary:
**Calculated volume**: 21.39 Å³/atom
**Energy of formation from the pure elements**: -0.7416 eV per atom
**Magnetic moment**: 0.000 μB per formula unit

***

# 2
Entry from the Alexandria database: an optimized crystal structure of ErPaZnRh (PBE).

Unit cell a=6.965 b=6.965 c=6.965 alpha=90.00 beta=90.00 gamma=90.00
Space group F-43m (No. 216)
Inequivalent atoms, fractional coordinates:
Er  0.000  0.000  0.000 x4
Pa  0.000  0.000  0.500 x4
Zn  0.250  0.250  0.750 x4
Rh  0.250  0.250  0.250 x4

Summary:
**Calculated volume**: 21.12 Å³/atom
**Energy of formation from the pure elements**: -0.3534 eV per atom
**Magnetic moment**: 0.001 μB per formula unit

***

- Which value of calculated volume does entry 2 give?
  21.12 Å³/atom

***

- calculated volume of number 1 (ErTmPa2Rh4)?
  21.39 Å³/atom

***

Copy entry 1 word for word.
Entry from the Alexandria database: an optimized crystal structure of ErTmPa2Rh4 (PBE).

Unit cell a=7.646 b=10.827 c=8.269 alpha=90.00 beta=90.00 gamma=90.00
Space group Fmm2 (No. 42)
Inequivalent atoms, fractional coordinates:
Er  0.000  0.000  0.000 x4
Tm  0.000  0.000  0.415 x4
Pa  0.250  0.250  0.274 x8
Rh  0.000  0.235  0.533 x8
Rh  0.196  0.000  0.714 x8

Summary:
**Calculated volume**: 21.39 Å³/atom
**Energy of formation from the pure elements**: -0.7416 eV per atom
**Magnetic moment**: 0.000 μB per formula unit

***

- calculated volume of number 2 (ErPaZnRh)?
  21.12 Å³/atom